No. 1
Density functional theory data (PBE) for a geometry-optimized ZnPd7Pt3 structure.

Output
energy of formation from the pure elements: -0.047 eV per atom
calculated total energy: -56.3 eV for the cell shown
volume: 177 Å³/cell

POSCAR file:
```
ZnPd7Pt3
1.0
6.717 0.000 0.000
0.000 5.516 0.000
0.000 -2.758 4.777
Zn Pd Pt
1 7 3
Cartesian
2.994 0.000 3.184
0.775 -1.388 3.986
0.775 0.000 1.582
0.771 2.758 1.592
3.055 4.155 0.785
3.055 1.360 0.785
3.055 2.758 3.206
0.775 1.388 3.986
5.249 1.370 2.394
5.249 0.000 4.766
5.249 -1.370 2.394
```

No. 2
Density functional theory data (PBE) for a geometry-optimized SrTl2AgRh structure.

Output
excess energy over the best structure of this formula in the dataset: 12 meV/atom
energy of formation from the pure elements: -0.047 eV per atom
calculated total energy: -16.9 eV for the cell shown
volume: 157 Å³/cell

POSCAR file:
```
SrTl2AgRh
1.0
-2.456 4.571 0.879
-3.472 -2.461 3.096
3.337 0.931 4.481
Sr Tl Rh Ag
1 2 1 1
Cartesian
1.668 0.465 2.241
-1.736 -1.231 1.548
-1.228 2.285 0.440
0.000 0.000 0.000
-1.296 1.520 4.228
```